Computed, not measured: a geometry-optimized Li5B8C8 structure at the GGA-PBE level of DFT.

Cell: 7.2073 2.7244 9.3843 Å, 90.00 90.02 90.00°
Atoms (fractional coordinates):
Li (0.0000, 0.0000, 0.0000)
Li (0.0007, 0.5000, 0.7211)
Li (0.4990, 0.0000, 0.9786)
Li (0.5038, 0.5000, 0.7100)
Li (0.5089, 0.5000, 0.2483)
B (0.2467, 0.0000, 0.6443)
B (0.2508, 0.5000, 0.8977)
B (0.2528, 0.5000, 0.3990)
B (0.2569, 0.0000, 0.1506)
B (0.7417, 0.5000, 0.0651)
B (0.7515, 0.0000, 0.8119)
B (0.7597, 0.5000, 0.5596)
B (0.7684, 0.0000, 0.3136)
C (0.2468, 0.5000, 0.5666)
C (0.2482, 0.0000, 0.8151)
C (0.2569, 0.5000, 0.0670)
C (0.2622, 0.0000, 0.3186)
C (0.7412, 0.0000, 0.1454)
C (0.7474, 0.5000, 0.8954)
C (0.7557, 0.0000, 0.6436)
C (0.7690, 0.5000, 0.3926)

Values from the calculation:
- energy relative to the elements (eV per atom) = -0.124
- DFT total energy (Ha/atom) = -0.2439

Computed, not measured: a geometry-optimized CaOs2 structure at the GGA-PBE level of DFT.

Cell: 3.6522 7.3023 5.4142 Å, 90.00 90.00 90.00°
Atoms (fractional coordinates):
Ca (0.0000, 0.0000, 0.0000)
Ca (0.5000, 0.5000, 0.5000)
Os (0.2494, 0.4026, 0.0000)
Os (0.2506, 0.9026, 0.5000)
Os (0.7494, 0.0974, 0.5000)
Os (0.7506, 0.5974, 0.0000)

Values from the calculation:
- energy relative to the elements (eV per atom) = 1.152
- DFT total energy (Ha/atom) = -0.2573

Q: Among the records above, which one has the lowest energy relative to the elements?
A: Li5B8C8